[1]
TlInSb2As | PBE-GGA | relaxed Values from VASP.

Geometry as Quantum ESPRESSO input:
```
&SYSTEM
  ibrav = 0, nat = 5, ntyp = 4
/
ATOMIC_SPECIES
Tl 204.38 Tl.upf
In 114.82 In.upf
Sb 121.76 Sb.upf
As 74.92 As.upf
ATOMIC_POSITIONS crystal
Tl 0.000 0.000 0.000
In 0.500 0.500 0.000
Sb 0.000 0.500 0.500
Sb 0.500 0.000 0.500
As 0.500 0.500 0.500
CELL_PARAMETERS angstrom
5.439 0.000 0.000
0.000 5.439 0.000
0.000 0.000 5.619
```

Values from the calculation:
E_form (uncorrected) (eV/atom): 0.37



[2]
Sc2InAs | PBE-GGA | relaxed Values from VASP.

Geometry as Quantum ESPRESSO input:
```
&SYSTEM
  ibrav = 0, nat = 8, ntyp = 3
/
ATOMIC_SPECIES
Sc 44.96 Sc.upf
In 114.82 In.upf
As 74.92 As.upf
ATOMIC_POSITIONS crystal
Sc 0.095 0.125 0.470
Sc 0.375 0.905 0.030
Sc 0.655 0.625 0.530
Sc 0.875 0.345 0.970
In 0.250 0.750 0.500
In 0.500 0.500 0.000
As 0.000 0.000 0.000
As 0.750 0.250 0.500
CELL_PARAMETERS angstrom
-3.793 3.793 3.212
3.793 -3.793 3.212
3.793 3.793 -3.212
```

Values from the calculation:
Energy relative to the elements (eV/atom): -0.51



[3]
ScInAs2 | PBE-GGA | relaxed Values from VASP.

Geometry as Quantum ESPRESSO input:
```
&SYSTEM
  ibrav = 0, nat = 8, ntyp = 3
/
ATOMIC_SPECIES
Sc 44.96 Sc.upf
In 114.82 In.upf
As 74.92 As.upf
ATOMIC_POSITIONS crystal
Sc 0.000 0.000 0.000
Sc 0.750 0.250 0.500
In 0.250 0.750 0.500
In 0.500 0.500 0.000
As 0.121 0.625 0.996
As 0.375 0.371 0.496
As 0.629 0.125 0.004
As 0.875 0.879 0.504
CELL_PARAMETERS angstrom
-3.099 3.099 6.080
3.099 -3.099 6.080
3.099 3.099 -6.080
```

Values from the calculation:
Energy relative to the elements (eV/atom): -0.52



[4]
ScIn2As | PBE-GGA | relaxed Values from VASP.

Geometry as Quantum ESPRESSO input:
```
&SYSTEM
  ibrav = 0, nat = 4, ntyp = 3
/
ATOMIC_SPECIES
Sc 44.96 Sc.upf
In 114.82 In.upf
As 74.92 As.upf
ATOMIC_POSITIONS crystal
Sc 0.000 0.000 0.000
In 0.000 0.500 0.000
In 0.500 0.000 0.500
As 0.500 0.500 0.500
CELL_PARAMETERS angstrom
0.000 2.915 5.592
2.898 0.000 5.592
2.898 2.915 0.000
```

Values from the calculation:
Energy relative to the elements (eV/atom): -0.36



[5]
ScInAs2 | PBE-GGA | relaxed Values from VASP.

Geometry as Quantum ESPRESSO input:
```
&SYSTEM
  ibrav = 0, nat = 4, ntyp = 3
/
ATOMIC_SPECIES
Sc 44.96 Sc.upf
In 114.82 In.upf
As 74.92 As.upf
ATOMIC_POSITIONS crystal
Sc 0.000 0.000 0.000
In 0.000 0.000 0.500
As 0.500 0.500 0.208
As 0.500 0.500 0.792
CELL_PARAMETERS angstrom
3.683 0.000 0.000
0.000 3.706 0.000
0.000 0.000 6.240
```

Values from the calculation:
Energy relative to the elements (eV/atom): -0.53



[6]
Sc4InAs | PBE-GGA | relaxed Values from VASP.

Geometry as Quantum ESPRESSO input:
```
&SYSTEM
  ibrav = 0, nat = 6, ntyp = 3
/
ATOMIC_SPECIES
Sc 44.96 Sc.upf
In 114.82 In.upf
As 74.92 As.upf
ATOMIC_POSITIONS crystal
Sc 0.125 0.125 0.125
Sc 0.125 0.125 0.624
Sc 0.125 0.624 0.125
Sc 0.624 0.125 0.125
In 0.500 0.500 0.500
As 0.750 0.750 0.750
CELL_PARAMETERS angstrom
0.000 4.099 4.099
4.099 0.000 4.099
4.099 4.099 0.000
```

Values from the calculation:
Energy relative to the elements (eV/atom): 0.06



[7]
ScIn2As | PBE-GGA | relaxed Values from VASP.

Geometry as Quantum ESPRESSO input:
```
&SYSTEM
  ibrav = 0, nat = 8, ntyp = 3
/
ATOMIC_SPECIES
Sc 44.96 Sc.upf
In 114.82 In.upf
As 74.92 As.upf
ATOMIC_POSITIONS crystal
Sc 0.000 0.000 0.000
Sc 0.750 0.250 0.500
In 0.152 0.625 0.027
In 0.375 0.402 0.527
In 0.598 0.125 0.973
In 0.875 0.848 0.473
As 0.250 0.750 0.500
As 0.500 0.500 0.000
CELL_PARAMETERS angstrom
-4.087 4.087 2.883
4.087 -4.087 2.883
4.087 4.087 -2.883
```

Values from the calculation:
Energy relative to the elements (eV/atom): -0.22



[8]
ScIn2As | PBE-GGA | relaxed Values from VASP.

Geometry as Quantum ESPRESSO input:
```
&SYSTEM
  ibrav = 0, nat = 4, ntyp = 3
/
ATOMIC_SPECIES
Sc 44.96 Sc.upf
In 114.82 In.upf
As 74.92 As.upf
ATOMIC_POSITIONS crystal
Sc 0.000 0.000 0.000
In 0.242 0.242 0.242
In 0.758 0.758 0.758
As 0.500 0.500 0.500
CELL_PARAMETERS angstrom
1.816 1.048 8.468
-1.816 1.048 8.468
0.000 -2.097 8.468
```

Values from the calculation:
Energy relative to the elements (eV/atom): -0.05



Q: Which spin magnetization values were calculated for the entries above? A: 0.0 0.0 0.0 0.0 0.0 0.0 0.0 0.0, in μB per formula unit.